# 1
# TcSbPb2

TcSbPb2 at its PBEsol-relaxed geometry (SCAN, Alexandria).

Calculated values
Raw total energy (eV/f.u.): -221.3
DOS at the Fermi energy (states/eV per atom): 0.630
Formation energy from raw total energies (meV per atom): 657

abc: 3.5926 5.1236 5.3469
angles: 90.00 97.92 90.00
Space group P2/m (No. 10)
Symmetry-distinct sites (fractional):
Tc: 0.0000 0.0000 0.0000 x1
Sb: 0.0000 0.0000 0.5000 x1
Pb: 0.3025 0.5000 0.2318 x2

***

# 2
# Te2PdO

Te2PdO at its PBEsol-relaxed geometry (SCAN, Alexandria).

Calculated values
Raw total energy (eV/f.u.): -112.8
DOS at the Fermi energy (states/eV per atom): 0.550
Formation energy from raw total energies (meV per atom): 187

abc: 3.0984 3.0984 26.4257
angles: 90.00 90.00 120.00
Space group R-3m (No. 166, hexagonal axes)
Symmetry-distinct sites (fractional):
Te: 0.0000 0.0000 0.0985 x6
Pd: 0.0000 0.0000 0.0000 x3
O: 0.0000 0.0000 0.5000 x3

***

# 3
# ZnCu2Ni

ZnCu2Ni at its PBEsol-relaxed geometry (SCAN, Alexandria).

Calculated values
Raw total energy (eV/f.u.): -60.1
ΔH_f (0 K) (meV/atom): -12
DOS at the Fermi energy (states/eV per atom): 0.434

abc: 2.5857 2.5857 6.8543
angles: 90.00 90.00 90.00
Space group P4/mmm (No. 123)
Symmetry-distinct sites (fractional):
Zn: 0.0000 0.0000 0.0000 x1
Cu: 0.5000 0.5000 0.2599 x2
Ni: 0.0000 0.0000 0.5000 x1

***

# 4
# Be2FeIrBr

Be2FeIrBr at its PBEsol-relaxed geometry (SCAN, Alexandria).

Calculated values
Raw total energy (eV/f.u.): -111.9
DOS at the Fermi energy (states/eV per atom): 0.376
Formation energy from raw total energies (meV per atom): 1094

abc: 4.1102 4.1102 4.3799
angles: 90.00 90.00 90.00
Space group P4/mmm (No. 123)
Symmetry-distinct sites (fractional):
Be: 0.0000 0.5000 0.0000 x2
Fe: 0.0000 0.0000 0.0000 x1
Ir: 0.0000 0.0000 0.5000 x1
Br: 0.5000 0.5000 0.5000 x1

***

# 5
# CuTc5

CuTc5 at its PBEsol-relaxed geometry (SCAN, Alexandria).

Calculated values
Raw total energy (eV/f.u.): -190.0
ΔH_f (0 K) (meV/atom): 90
DOS at the Fermi energy (states/eV per atom): 0.905

abc: 9.7142 2.7611 6.2887
angles: 90.00 105.08 90.00
Space group Cm (No. 8)
Symmetry-distinct sites (fractional):
Cu: 0.0000 0.0000 0.0000 x2
Tc: 0.0559 0.0000 0.6011 x2
Tc: 0.1698 0.5000 0.3352 x2
Tc: 0.2156 0.5000 0.9339 x2
Tc: 0.3384 0.0000 0.6692 x2
Tc: 0.3846 0.0000 0.2648 x2

***

# 6
# In2SnHgSb

In2SnHgSb at its PBEsol-relaxed geometry (SCAN, Alexandria).

Calculated values
Raw total energy (eV/f.u.): -205.6
DOS at the Fermi energy (states/eV per atom): 0.633
Formation energy from raw total energies (meV per atom): 501

abc: 5.3594 5.3594 5.5527
angles: 90.00 90.00 90.00
Space group P4/mmm (No. 123)
Symmetry-distinct sites (fractional):
In: 0.0000 0.5000 0.0000 x2
Sn: 0.0000 0.0000 0.5000 x1
Hg: 0.5000 0.5000 0.0000 x1
Sb: 0.5000 0.5000 0.5000 x1

***

# 7
# KSb2N2

KSb2N2 at its PBEsol-relaxed geometry (SCAN, Alexandria).

Calculated values
Raw total energy (eV/f.u.): -96.5
DOS at the Fermi energy (states/eV per atom): 0.284
Formation energy from raw total energies (meV per atom): 996

abc: 7.5621 7.5621 3.1809
angles: 90.00 90.00 90.00
Space group P4/mbm (No. 127)
Symmetry-distinct sites (fractional):
K: 0.0000 0.0000 0.0000 x2
Sb: 0.1282 0.3718 0.5000 x4
N: 0.1208 0.6208 0.0000 x4

***

# 8
# SiPtRh

SiPtRh at its PBEsol-relaxed geometry (SCAN, Alexandria).

Calculated values
Raw total energy (eV/f.u.): -116.9
DOS at the Fermi energy (states/eV per atom): 0.324
Formation energy from raw total energies (meV per atom): -984

abc: 5.5968 5.5968 5.5968
angles: 90.00 90.00 90.00
Space group F-43m (No. 216)
Symmetry-distinct sites (fractional):
Si: 0.0000 0.0000 0.0000 x4
Pt: 0.2500 0.2500 0.2500 x4
Rh: 0.2500 0.2500 0.7500 x4

***

# 9
# MgVBiO5

MgVBiO5 at its PBEsol-relaxed geometry (SCAN, Alexandria).

Calculated values
Raw total energy (eV/f.u.): -150.8
DOS at the Fermi energy (states/eV per atom): 0.000
Formation energy from raw total energies (meV per atom): -2329

abc: 5.3214 11.5313 7.8764
angles: 90.00 112.93 90.00
Space group P2_1/c (No. 14)
Symmetry-distinct sites (fractional):
Mg: 0.0505 0.0783 0.1762 x4
V: 0.3127 0.6483 0.0284 x4
Bi: 0.4371 0.0972 0.8223 x4
O: 0.1745 0.7146 0.4852 x4
O: 0.2029 0.5684 0.1728 x4
O: 0.2508 0.5724 0.8277 x4
O: 0.2604 0.0273 0.0152 x4
O: 0.3492 0.1757 0.3644 x4

***

# 10
# GeTe2PI

GeTe2PI at its PBEsol-relaxed geometry (SCAN, Alexandria).

Calculated values
Raw total energy (eV/f.u.): -136.1
DOS at the Fermi energy (states/eV per atom): 0.698
Formation energy from raw total energies (meV per atom): 936

abc: 5.3490 5.3490 5.2489
angles: 90.00 90.00 90.00
Space group P4/mmm (No. 123)
Symmetry-distinct sites (fractional):
Ge: 0.0000 0.0000 0.0000 x1
Te: 0.0000 0.5000 0.0000 x2
P: 0.5000 0.5000 0.5000 x1
I: 0.0000 0.0000 0.5000 x1

***

# 11
# AlZnTc2Bi

AlZnTc2Bi at its PBEsol-relaxed geometry (SCAN, Alexandria).

Calculated values
Raw total energy (eV/f.u.): -160.4
ΔH_f (0 K) (meV/atom): 1918
DOS at the Fermi energy (states/eV per atom): 0.945

abc: 5.0034 5.0034 4.8568
angles: 90.00 90.00 90.00
Space group P4/mmm (No. 123)
Symmetry-distinct sites (fractional):
Al: 0.0000 0.0000 0.0000 x1
Zn: 0.5000 0.5000 0.0000 x1
Tc: 0.0000 0.5000 0.5000 x2
Bi: 0.5000 0.5000 0.5000 x1

***

# 12
# YBe2Se

YBe2Se at its PBEsol-relaxed geometry (SCAN, Alexandria).

Calculated values
Raw total energy (eV/f.u.): -57.1
DOS at the Fermi energy (states/eV per atom): 0.308
Formation energy from raw total energies (meV per atom): -120

abc: 7.1145 7.1145 5.4438
angles: 90.00 90.00 90.00
Space group I-42d (No. 122)
Symmetry-distinct sites (fractional):
Y: 0.0000 0.0000 0.0000 x4
Be: 0.1910 0.2500 0.6250 x8
Se: 0.0000 0.0000 0.5000 x4

***

# 13
# FeRuW2

FeRuW2 at its PBEsol-relaxed geometry (SCAN, Alexandria).

Calculated values
Raw total energy (eV/f.u.): -191.8
ΔH_f (0 K) (meV/atom): 122
DOS at the Fermi energy (states/eV per atom): 0.708

abc: 3.0793 3.0793 5.9156
angles: 90.00 90.00 90.00
Space group P4mm (No. 99)
Symmetry-distinct sites (fractional):
Fe: 0.0000 0.0000 0.0000 x1
Ru: 0.5000 0.5000 0.2626 x1
W: 0.0000 0.0000 0.5068 x1
W: 0.5000 0.5000 0.7907 x1

***

# 14
# K2TlSi

K2TlSi at its PBEsol-relaxed geometry (SCAN, Alexandria).

Calculated values
Raw total energy (eV/f.u.): -98.4
DOS at the Fermi energy (states/eV per atom): 0.460
Formation energy from raw total energies (meV per atom): 150

abc: 7.6891 7.6891 7.6891
angles: 90.00 90.00 90.00
Space group F-43m (No. 216)
Symmetry-distinct sites (fractional):
K: 0.0000 0.0000 0.0000 x4
K: 0.2500 0.2500 0.2500 x4
Tl: 0.2500 0.2500 0.7500 x4
Si: 0.0000 0.0000 0.5000 x4

***

# 15
# YMoAu2

YMoAu2 at its PBEsol-relaxed geometry (SCAN, Alexandria).

Calculated values
Raw total energy (eV/f.u.): -200.8
ΔH_f (0 K) (meV/atom): 66
DOS at the Fermi energy (states/eV per atom): 0.806

abc: 9.7032 2.9013 5.3664
angles: 90.00 99.34 90.00
Space group C2/m (No. 12)
Symmetry-distinct sites (fractional):
Y: 0.0000 0.0000 0.0000 x2
Mo: 0.0000 0.5000 0.5000 x2
Au: 0.2406 0.0000 0.7254 x4

***

# 16
# TeAuSe2

TeAuSe2 at its PBEsol-relaxed geometry (SCAN, Alexandria).

Calculated values
Raw total energy (eV/f.u.): -146.5
DOS at the Fermi energy (states/eV per atom): 0.481
Formation energy from raw total energies (meV per atom): 21

abc: 5.5969 7.9665 3.9748
angles: 90.00 90.00 90.00
Space group Cmmm (No. 65)
Symmetry-distinct sites (fractional):
Te: 0.0000 0.0000 0.0000 x2
Au: 0.0000 0.5000 0.0000 x2
Se: 0.0000 0.2692 0.5000 x4

***

# 17
# LiRe2Se

LiRe2Se at its PBEsol-relaxed geometry (SCAN, Alexandria).

Calculated values
Raw total energy (eV/f.u.): -162.9
DOS at the Fermi energy (states/eV per atom): 0.523
Formation energy from raw total energies (meV per atom): 451

abc: 2.7465 4.9043 4.5616
angles: 90.00 91.13 90.00
Space group P2/m (No. 10)
Symmetry-distinct sites (fractional):
Li: 0.0000 0.0000 0.0000 x1
Re: 0.3052 0.5000 0.2422 x2
Se: 0.5000 0.0000 0.5000 x1

***

# 18
# CdNi2Se

CdNi2Se at its PBEsol-relaxed geometry (SCAN, Alexandria).

Calculated values
Raw total energy (eV/f.u.): -82.5
DOS at the Fermi energy (states/eV per atom): 0.341
Formation energy from raw total energies (meV per atom): 85

abc: 8.2388 3.0148 5.0242
angles: 90.00 100.06 90.00
Space group Cm (No. 8)
Symmetry-distinct sites (fractional):
Cd: 0.0000 0.0000 0.0000 x2
Ni: 0.0063 0.5000 0.5245 x2
Ni: 0.2450 0.0000 0.7325 x2
Se: 0.2804 0.5000 0.4004 x2

***

# 19
# LiY2Re

LiY2Re at its PBEsol-relaxed geometry (SCAN, Alexandria).

Calculated values
Raw total energy (eV/f.u.): -127.8
ΔH_f (0 K) (meV/atom): 352
DOS at the Fermi energy (states/eV per atom): 0.641

abc: 8.4325 3.2175 6.9139
angles: 90.00 97.55 90.00
Space group C2/m (No. 12)
Symmetry-distinct sites (fractional):
Li: 0.0000 0.0000 0.0000 x2
Y: 0.2350 0.0000 0.7137 x4
Re: 0.0000 0.5000 0.5000 x2

***

# 20
# HfUN2

HfUN2 at its PBEsol-relaxed geometry (SCAN, Alexandria).

Calculated values
Raw total energy (eV/f.u.): -191.4
DOS at the Fermi energy (states/eV per atom): 1.032
Formation energy from raw total energies (meV per atom): -1666

abc: 3.1915 3.1915 16.8295
angles: 90.00 90.00 120.00
Space group R-3m (No. 166, hexagonal axes)
Symmetry-distinct sites (fractional):
Hf: 0.0000 0.0000 0.0000 x3
U: 0.0000 0.0000 0.5000 x3
N: 0.0000 0.0000 0.2587 x6